Entry one
The following is a DFT calculation (PBE) of a relaxed structure of VTcS2Cl.

The structure in extended XYZ format:
```
5
Lattice="4.605 0.000 0.000 0.000 4.605 0.000 0.000 0.000 4.828" Properties=species:S:1:pos:R:3 pbc="T T T"
S 2.302 0.000 0.000
S 0.000 2.302 0.000
Cl 0.000 0.000 2.414
V 2.302 2.302 2.414
Tc 0.000 0.000 0.000
```

Results
Space-group type: No. 123


Entry two
The following is a DFT calculation (PBE) of a relaxed structure of VTcS2Cl.

The structure in extended XYZ format:
```
5
Lattice="4.656 0.000 0.000 0.000 4.656 0.000 0.000 0.000 4.705" Properties=species:S:1:pos:R:3 pbc="T T T"
S 0.000 2.328 0.000
S 2.328 0.000 0.000
Tc 2.328 2.328 2.353
V 0.000 0.000 0.000
Cl 0.000 0.000 2.353
```

Results
Space-group type: No. 123


Unit: meV/atom. Relative energies: entry one 293; entry two 0.


Entry one
The following is a DFT calculation (PBE) of a relaxed structure of TcWSCl2.

The structure in extended XYZ format:
```
5
Lattice="-2.374 -2.966 3.048 4.193 -2.219 1.107 0.677 2.998 3.445" Properties=species:S:1:pos:R:3 pbc="T T T"
Cl 2.096 -1.109 0.553
Cl -1.187 -1.483 1.524
W 0.000 0.000 0.000
Tc 1.248 -1.093 3.800
S 0.339 1.499 1.723
```

Results
Space-group type: No. 123


Entry two
The following is a DFT calculation (PBE) of a relaxed structure of TcWSCl2.

The structure in extended XYZ format:
```
5
Lattice="-2.365 4.271 0.108 -3.128 -1.815 3.281 2.689 1.405 3.341" Properties=species:S:1:pos:R:3 pbc="T T T"
S 1.345 0.703 1.671
Cl -1.183 2.135 0.054
Cl -1.564 -0.908 1.641
W -1.402 1.931 3.365
Tc 0.000 0.000 0.000
```

Results
Space-group type: No. 123


Unit: meV/atom. Relative energies: entry one 0; entry two 286.


Entry one
The following is a DFT calculation (PBE) of a relaxed structure of YTcS2Cl.

The structure in extended XYZ format:
```
5
Lattice="-1.581 2.269 -3.832 1.539 -3.537 -2.729 -4.121 -2.132 0.438" Properties=species:S:1:pos:R:3 pbc="T T T"
Y -2.081 -1.700 -3.062
Cl -2.061 -1.066 0.219
Tc 0.000 0.000 0.000
S -0.790 1.134 -1.916
S 0.770 -1.769 -1.365
```

Results
Space-group type: No. 123


Entry two
The following is a DFT calculation (PBE) of a relaxed structure of YTcS2Cl.

The structure in extended XYZ format:
```
5
Lattice="-3.169 4.144 -0.710 -3.529 -2.138 3.270 2.199 2.351 3.910" Properties=species:S:1:pos:R:3 pbc="T T T"
Cl 1.099 1.176 1.955
S -1.765 -1.069 1.635
S -1.584 2.072 -0.355
Y 0.000 0.000 0.000
Tc -2.250 2.179 3.235
```

Results
Space-group type: No. 123


Unit: meV/atom. Relative energies: entry one 0; entry two 371.


Entry one
The following is a DFT calculation (PBE) of a relaxed structure of Te2SCl.

The structure in extended XYZ format:
```
4
Lattice="-1.219 -4.818 -0.976 -4.411 -1.093 -2.236 -0.069 -1.676 -4.779" Properties=species:S:1:pos:R:3 pbc="T T T"
Cl -2.850 -3.793 -3.996
Te -4.275 -5.690 -5.994
Te -1.425 -1.897 -1.998
S 0.000 0.000 0.000
```

Results
Space-group type: No. 225


Entry two
The following is a DFT calculation (PBE) of a relaxed structure of Te2SCl.

The structure in extended XYZ format:
```
16
Lattice="-1.080 3.989 -3.755 7.050 -2.481 -4.664 -12.425 -3.591 -0.241" Properties=species:S:1:pos:R:3 pbc="T T T"
Cl -7.485 -3.006 -3.848
Cl -1.308 -3.405 -6.048
Cl -5.147 1.322 -2.612
Cl 1.029 0.924 -4.812
Te 1.591 -1.219 -3.148
Te -4.915 -2.568 -7.689
Te -8.047 -0.863 -5.512
Te -1.540 0.485 -0.971
Te 2.408 -2.958 -5.230
Te -8.864 0.875 -3.430
Te -1.649 -1.667 -3.226
Te -4.806 -0.415 -5.434
S 5.089 0.337 -7.497
S -4.066 -2.369 -3.261
S -11.545 -2.419 -1.163
S -2.390 0.287 -5.399
```

Results
Space-group type: No. 13


Unit: meV/atom. Relative energies: entry one 477; entry two 0.


Entry one
The following is a DFT calculation (PBE) of a relaxed structure of Te3SCl.

The structure in extended XYZ format:
```
5
Lattice="-1.017 -4.336 2.854 -0.720 -2.762 -4.453 5.141 -1.245 -0.059" Properties=species:S:1:pos:R:3 pbc="T T T"
Te 2.570 -0.623 -0.030
Te -0.509 -2.168 1.427
Te -0.360 -1.381 -2.227
Cl 1.701 -4.172 -0.829
S 0.000 0.000 0.000
```

Results
Space-group type: No. 221


Entry two
The following is a DFT calculation (PBE) of a relaxed structure of Te3SCl.

The structure in extended XYZ format:
```
10
Lattice="-9.563 -0.422 -0.376 -7.268 -6.165 -0.970 -7.606 -3.519 4.642" Properties=species:S:1:pos:R:3 pbc="T T T"
Te -13.146 -7.051 2.994
Te -9.661 -3.731 3.095
Te -14.424 -4.094 2.586
Te -13.967 -6.033 0.022
Te -9.211 -5.620 0.639
Te -10.445 -2.773 0.220
Cl -7.026 -2.906 0.948
Cl -19.245 -7.959 2.596
S -24.053 -9.947 3.244
S -11.834 -4.894 1.596
```

Results
Space-group type: No. 161


Entry three
The following is a DFT calculation (PBE) of a relaxed structure of Te3SCl.

The structure in extended XYZ format:
```
5
Lattice="5.367 0.000 0.000 0.000 5.367 0.000 0.000 0.000 5.367" Properties=species:S:1:pos:R:3 pbc="T T T"
S 2.683 2.683 2.683
Te 0.000 2.683 0.000
Te 0.000 0.000 2.683
Te 2.683 0.000 0.000
Cl 0.000 0.000 0.000
```

Results
Space-group type: No. 221


Unit: meV/atom. Relative energies: entry one 291; entry two 0; entry three 896.


Entry one
The following is a DFT calculation (PBE) of a relaxed structure of VTeS2Cl.

The structure in extended XYZ format:
```
5
Lattice="5.151 0.000 0.000 0.000 5.151 0.000 0.000 0.000 5.076" Properties=species:S:1:pos:R:3 pbc="T T T"
V 2.575 2.575 2.538
S 0.000 2.575 0.000
S 2.575 0.000 0.000
Te 0.000 0.000 0.000
Cl 0.000 0.000 2.538
```

Results
Space-group type: No. 123


Entry two
The following is a DFT calculation (PBE) of a relaxed structure of VTeS2Cl.

The structure in extended XYZ format:
```
5
Lattice="4.728 0.000 0.000 0.000 4.728 0.000 0.000 0.000 4.647" Properties=species:S:1:pos:R:3 pbc="T T T"
V 0.000 0.000 0.000
Cl 0.000 0.000 2.324
Te 2.364 2.364 2.324
S 0.000 2.364 0.000
S 2.364 0.000 0.000
```

Results
Space-group type: No. 123


Unit: meV/atom. Relative energies: entry one 769; entry two 0.


Entry one
The following is a DFT calculation (PBE) of a relaxed structure of VTeSCl2.

The structure in extended XYZ format:
```
5
Lattice="5.232 0.000 0.000 0.000 5.232 0.000 0.000 0.000 5.293" Properties=species:S:1:pos:R:3 pbc="T T T"
Cl 0.000 2.616 0.000
Cl 2.616 0.000 0.000
Te 0.000 0.000 0.000
V 2.616 2.616 2.647
S 0.000 0.000 2.647
```

Results
Space-group type: No. 123


Entry two
The following is a DFT calculation (PBE) of a relaxed structure of VTeSCl2.

The structure in extended XYZ format:
```
5
Lattice="4.591 0.000 0.000 0.000 4.591 0.000 0.000 0.000 4.969" Properties=species:S:1:pos:R:3 pbc="T T T"
V 0.000 0.000 0.000
Cl 2.296 0.000 0.000
Cl 0.000 2.296 0.000
S 0.000 0.000 2.485
Te 2.296 2.296 2.485
```

Results
Space-group type: No. 123


Unit: meV/atom. Relative energies: entry one 663; entry two 0.


Entry one
The following is a DFT calculation (PBE) of a relaxed structure of ZnTeSCl2.

The structure in extended XYZ format:
```
5
Lattice="-5.086 -1.054 1.287 1.608 -4.173 2.938 0.403 3.011 4.056" Properties=species:S:1:pos:R:3 pbc="T T T"
Cl 0.804 -2.087 1.469
Cl -2.543 -0.527 0.644
Te 0.000 0.000 0.000
S 0.201 1.505 2.028
Zn -1.538 -1.108 4.141
```

Results
Space-group type: No. 123


Entry two
The following is a DFT calculation (PBE) of a relaxed structure of ZnTeSCl2.

The structure in extended XYZ format:
```
5
Lattice="4.607 0.000 0.000 0.000 4.607 0.000 0.000 0.000 5.444" Properties=species:S:1:pos:R:3 pbc="T T T"
Cl 0.000 2.303 0.000
Cl 2.303 0.000 0.000
Te 2.303 2.303 2.722
Zn 0.000 0.000 0.000
S 0.000 0.000 2.722
```

Results
Space-group type: No. 123


Unit: meV/atom. Relative energies: entry one 170; entry two 0.